First-principles (PBE with a Hubbard U) data for an optimized crystal structure of Cd2WF, as listed in Alexandria via LeMat-Bulk.

Properties
Its spin magnetization is 9.14 μB/cell. The calculation puts the energy above the most stable polymorph in this dataset at 0 meV per atom. As for the crystal system: tetragonal. The value obtained for the density of states at the Fermi level is 2.59 states/eV per cell.

abc: 7.326 7.326 6.016
angles: 52.49 52.49 90.00
Fractional coordinates of all 8 atoms:
W (0.000, 0.000, 0.000)
F (0.500, 0.500, 0.000)
Cd (0.875, 0.821, 0.750)
Cd (0.375, 0.429, 0.750)
W (0.750, 0.250, 0.500)
Cd (0.571, 0.125, 0.250)
Cd (0.179, 0.625, 0.250)
F (0.250, 0.750, 0.500)